{
  "formula": "Ac5Nd6Sm2",
  "functional": "PBE",
  "state": "relaxed",
  "total_energy_ev_per_atom": -4.42,
  "magnetic_moment_mub_per_atom": 0.000,
  "ef_ev_per_atom": 0.088,
  "cell": [[3.814, 0.000, 0.000], [0.000, 12.121, 0.000], [0.000, 0.000, 22.043]],
  "species": ["Ac", "Ac", "Ac", "Ac", "Ac", "Ac", "Ac", "Ac", "Ac", "Ac", "Nd", "Nd", "Nd", "Nd", "Nd", "Nd", "Nd", "Nd", "Nd", "Nd", "Nd", "Nd", "Sm", "Sm", "Sm", "Sm"],
  "frac_coords": [[0.500, 0.307, 0.424], [0.500, 0.693, 0.576], [0.500, 0.807, 0.076], [0.500, 0.193, 0.924], [0.500, 0.550, 0.289], [0.500, 0.450, 0.711], [0.500, 0.050, 0.211], [0.500, 0.950, 0.789], [0.500, 0.500, 0.000], [0.500, 0.000, 0.500], [0.000, 0.057, 0.356], [0.000, 0.943, 0.644], [0.000, 0.557, 0.144], [0.000, 0.443, 0.856], [0.500, 0.310, 0.128], [0.500, 0.690, 0.872], [0.500, 0.810, 0.372], [0.500, 0.190, 0.628], [0.000, 0.582, 0.436], [0.000, 0.418, 0.564], [0.000, 0.082, 0.064], [0.000, 0.918, 0.936], [0.000, 0.292, 0.268], [0.000, 0.708, 0.732], [0.000, 0.792, 0.232], [0.000, 0.208, 0.768]]
}